1.
DFT (PBE-GGA) results for an optimized crystal structure of MnFeTc2.

```
MnFeTc2
1.0
-1.888 1.888 3.700
1.888 -1.888 3.700
1.888 1.888 -3.700
Mn Fe Tc
1 1 2
Direct
0.000 0.000 0.000 Mn
0.750 0.250 0.500 Fe
0.250 0.750 0.500 Tc
0.500 0.500 0.000 Tc
```

The polymorph energy (0 for the lowest one) is 0 meV/atom. As for the density of states at the Fermi level: 3.74 states/eV/f.u. The space group is No. 119. Its total magnetization is 0.23 Bohr magnetons per cell. The value obtained for the formation energy is 0.051 eV per atom. The calculation puts the total DFT energy (no corrections) at -38.16 eV per cell.

2.
DFT (PBE-GGA) results for an optimized crystal structure of MnFe2Tc.

```
MnFe2Tc
1.0
4.087 0.000 0.000
0.000 4.087 0.000
0.000 0.000 2.939
Mn Fe Tc
1 2 1
Direct
0.000 0.000 0.000 Mn
0.000 0.500 0.500 Fe
0.500 0.000 0.500 Fe
0.500 0.500 0.000 Tc
```

The polymorph energy (0 for the lowest one) is 73 meV/atom. As for the density of states at the Fermi level: 4.52 states/eV/f.u. The space group is No. 123. Its total magnetization is 6.03 Bohr magnetons per cell. The value obtained for the formation energy is 0.134 eV per atom. The calculation puts the total DFT energy (no corrections) at -35.93 eV per cell.

3.
DFT (PBE-GGA) results for an optimized crystal structure of MnFeTc.

```
MnFeTc
1.0
5.980 0.000 0.000
0.000 5.980 0.000
0.000 0.000 4.970
Mn Fe Tc
4 4 4
Direct
0.029 0.029 0.000 Mn
0.471 0.529 0.250 Mn
0.529 0.471 0.750 Mn
0.971 0.971 0.500 Mn
0.224 0.776 0.250 Fe
0.276 0.276 0.000 Fe
0.724 0.724 0.500 Fe
0.776 0.224 0.750 Fe
0.244 0.244 0.500 Tc
0.256 0.744 0.750 Tc
0.744 0.256 0.250 Tc
0.756 0.756 0.000 Tc
```

The polymorph energy (0 for the lowest one) is 961 meV/atom. As for the density of states at the Fermi level: 3.92 states/eV/f.u. The space group is No. 92. Its total magnetization is 5.95 Bohr magnetons per cell. The value obtained for the formation energy is 0.969 eV per atom. The calculation puts the total DFT energy (no corrections) at -100.36 eV per cell.

4.
DFT (PBE-GGA) results for an optimized crystal structure of MnFeTc2.

```
MnFeTc2
1.0
0.000 2.978 2.978
2.978 0.000 2.978
2.978 2.978 0.000
Mn Fe Tc
1 1 2
Direct
0.000 0.000 0.000 Mn
0.500 0.500 0.500 Fe
0.250 0.250 0.250 Tc
0.750 0.750 0.750 Tc
```

The polymorph energy (0 for the lowest one) is 118 meV/atom. As for the density of states at the Fermi level: 5.37 states/eV/f.u. The space group is No. 225. Its total magnetization is 0.48 Bohr magnetons per cell. The value obtained for the formation energy is 0.169 eV per atom. The calculation puts the total DFT energy (no corrections) at -37.69 eV per cell.

5.
DFT (PBE-GGA) results for an optimized crystal structure of MnFe2Tc.

```
MnFe2Tc
1.0
1.287 0.743 8.285
-1.287 0.743 8.285
0.000 -1.486 8.285
Mn Fe Tc
1 2 1
Direct
0.000 0.000 0.000 Mn
0.254 0.254 0.254 Fe
0.746 0.746 0.746 Fe
0.500 0.500 0.500 Tc
```

The polymorph energy (0 for the lowest one) is 131 meV/atom. As for the density of states at the Fermi level: 5.20 states/eV/f.u. The space group is No. 166. Its total magnetization is 1.49 Bohr magnetons per cell. The value obtained for the formation energy is 0.192 eV per atom. The calculation puts the total DFT energy (no corrections) at -35.69 eV per cell.

6.
DFT (PBE-GGA) results for an optimized crystal structure of MnFeTc2.

```
MnFeTc2
1.0
0.000 2.990 2.990
2.990 0.000 2.990
2.990 2.990 0.000
Mn Fe Tc
1 1 2
Direct
0.000 0.000 0.000 Mn
0.750 0.750 0.750 Fe
0.250 0.250 0.250 Tc
0.500 0.500 0.500 Tc
```

The polymorph energy (0 for the lowest one) is 75 meV/atom. As for the density of states at the Fermi level: 3.59 states/eV/f.u. The space group is No. 216. Its total magnetization is 4.72 Bohr magnetons per cell. The value obtained for the formation energy is 0.127 eV per atom. The calculation puts the total DFT energy (no corrections) at -37.86 eV per cell.

7.
DFT (PBE-GGA) results for an optimized crystal structure of MnFe2Tc.

```
MnFe2Tc
1.0
-1.470 2.056 4.076
1.470 -2.056 4.076
1.470 2.056 -4.076
Mn Fe Tc
1 2 1
Direct
0.000 0.000 0.000 Mn
0.507 0.507 0.000 Fe
0.750 0.250 0.500 Fe
0.253 0.753 0.500 Tc
```

The polymorph energy (0 for the lowest one) is 22 meV/atom. As for the density of states at the Fermi level: 3.54 states/eV/f.u. The space group is No. 44. Its total magnetization is 6.23 Bohr magnetons per cell. The value obtained for the formation energy is 0.083 eV per atom. The calculation puts the total DFT energy (no corrections) at -36.13 eV per cell.

8.
DFT (PBE-GGA) results for an optimized crystal structure of MnFeTc2.

```
MnFeTc2
1.0
-1.540 2.084 4.189
1.540 -2.084 4.189
1.540 2.084 -4.189
Mn Fe Tc
1 1 2
Direct
0.000 0.000 0.000 Mn
0.500 0.500 0.000 Fe
0.253 0.753 0.500 Tc
0.747 0.247 0.500 Tc
```

The polymorph energy (0 for the lowest one) is 91 meV/atom. As for the density of states at the Fermi level: 4.43 states/eV/f.u. The space group is No. 71. Its total magnetization is 4.90 Bohr magnetons per cell. The value obtained for the formation energy is 0.143 eV per atom. The calculation puts the total DFT energy (no corrections) at -37.79 eV per cell.